(1)
A plane-wave DFT calculation with PBE was carried out for crystalline Pr2ErThSe5 at its relaxed geometry.

Results
VASP energy   -5.54 eV per atom
Space group   No. 123
Formation energy from raw total energies   -1.21 eV per atom

Structure (POSCAR):
```
Pr2ErThSe5
1.0
5.061 0.000 0.000
0.000 5.061 0.000
0.000 0.000 10.893
Pr Er Th Se
2 1 1 5
direct
0.000 0.000 0.206 Pr
0.000 0.000 0.794 Pr
0.500 0.500 0.000 Er
0.500 0.500 0.500 Th
0.000 0.000 0.500 Se
0.000 0.500 0.000 Se
0.500 0.000 0.000 Se
0.500 0.500 0.251 Se
0.500 0.500 0.749 Se
```

---

(2)
A plane-wave DFT calculation with PBE was carried out for crystalline Ce2YThSb5 at its relaxed geometry.

Results
VASP energy   -5.42 eV per atom
Space group   No. 123
Formation energy from raw total energies   -0.27 eV per atom

Structure (POSCAR):
```
Ce2YThSb5
1.0
5.277 0.000 0.000
0.000 5.277 0.000
0.000 0.000 11.811
Ce Y Th Sb
2 1 1 5
direct
0.000 0.000 0.202 Ce
0.000 0.000 0.798 Ce
0.500 0.500 0.000 Y
0.500 0.500 0.500 Th
0.000 0.000 0.500 Sb
0.000 0.500 0.000 Sb
0.500 0.000 0.000 Sb
0.500 0.500 0.250 Sb
0.500 0.500 0.750 Sb
```

---

(3)
A plane-wave DFT calculation with PBE was carried out for crystalline TiMnGe3 at its relaxed geometry.

Results
Formation enthalpy at 0 K   0.503 eV/atom
VASP energy   -5.68 eV per atom
Space group   No. 221

Structure (POSCAR):
```
TiMnGe3
1.0
4.613 0.000 0.000
0.000 4.613 0.000
0.000 0.000 4.613
Ti Mn Ge
1 1 3
direct
0.000 0.000 0.000 Ti
0.500 0.500 0.500 Mn
0.000 0.500 0.500 Ge
0.500 0.000 0.500 Ge
0.500 0.500 0.000 Ge
```

---

(4)
A plane-wave DFT calculation with PBE was carried out for crystalline Tb3TaTl3S8 at its relaxed geometry.

Results
VASP energy   -5.74 eV per atom
Space group   No. 166
Formation energy from raw total energies   -1.34 eV per atom

Structure (POSCAR):
```
Tb3TaTl3S8
1.0
3.901 2.252 7.679
-3.901 2.252 7.679
0.000 -4.505 7.679
Tb Ta Tl S
3 1 3 8
direct
0.000 0.500 0.500 Tb
0.500 0.000 0.500 Tb
0.500 0.500 0.000 Tb
0.000 0.000 0.000 Ta
0.000 0.000 0.500 Tl
0.000 0.500 0.000 Tl
0.500 0.000 0.000 Tl
0.215 0.215 0.759 S
0.215 0.759 0.215 S
0.241 0.785 0.785 S
0.266 0.266 0.266 S
0.734 0.734 0.734 S
0.759 0.215 0.215 S
0.785 0.241 0.785 S
0.785 0.785 0.241 S
```

---

(5)
A plane-wave DFT calculation with PBE was carried out for crystalline OsBr3F at its relaxed geometry.

Results
ΔE to the lowest computed polymorph   612 meV/atom
VASP energy   -3.30 eV per atom
Space group   No. 221
Formation energy from raw total energies   0.33 eV per atom

Structure (POSCAR):
```
OsBr3F
1.0
5.006 0.000 0.000
0.000 5.006 0.000
0.000 0.000 5.006
Os Br F
1 3 1
direct
0.000 0.000 0.000 Os
0.000 0.000 0.500 Br
0.000 0.500 0.000 Br
0.500 0.000 0.000 Br
0.500 0.500 0.500 F
```

---

(6)
A plane-wave DFT calculation with PBE was carried out for crystalline RbGe2Os at its relaxed geometry.

Results
Formation enthalpy at 0 K   0.065 eV/atom
ΔE to the lowest computed polymorph   0 meV/atom
VASP energy   -5.29 eV per atom
Space group   No. 141

Structure (POSCAR):
```
RbGe2Os
1.0
-3.234 3.234 6.631
3.234 -3.234 6.631
3.234 3.234 -6.631
Rb Ge Os
2 4 2
direct
0.375 0.625 0.750 Rb
0.625 0.375 0.250 Rb
0.000 0.000 0.000 Ge
0.000 0.000 0.500 Ge
0.000 0.500 0.000 Ge
0.500 0.000 0.500 Ge
0.125 0.875 0.250 Os
0.875 0.125 0.750 Os
```

---

(7)
A plane-wave DFT calculation with PBE was carried out for crystalline PmNdTlZn at its relaxed geometry.

Results
Formation enthalpy at 0 K   -0.331 eV/atom
ΔE to the lowest computed polymorph   21 meV/atom
VASP energy   -3.62 eV per atom
Space group   No. 216

Structure (POSCAR):
```
PmNdTlZn
1.0
0.000 3.805 3.805
3.805 0.000 3.805
3.805 3.805 0.000
Pm Nd Tl Zn
1 1 1 1
direct
0.000 0.000 0.000 Pm
0.500 0.500 0.500 Nd
0.250 0.250 0.250 Tl
0.750 0.750 0.750 Zn
```

---

(8)
A plane-wave DFT calculation with PBE was carried out for crystalline Li2NiP at its relaxed geometry.

Results
Formation enthalpy at 0 K   -0.356 eV/atom
VASP energy   -4.11 eV per atom
Space group   No. 6

Structure (POSCAR):
```
Li2NiP
1.0
2.733 0.000 0.000
0.000 3.952 0.000
-1.357 0.000 4.804
Li Ni P
2 1 1
direct
0.000 0.000 0.000 Li
0.345 0.500 0.694 Li
0.624 0.500 0.249 Ni
0.721 0.000 0.445 P
```